Below is Ca3PrMg4 after structural relaxation, with properties calculated at the PBE level.

Cell and atoms, written as extended XYZ:
```
8
Lattice="-2.2770 -2.0062 -2.5328 -0.3543 -2.9248 2.6352 -12.8467 6.9802 6.0202" Properties=species:S:1:pos:R:3 pbc="T T T"
Mg -1.5754 0.8560 0.7383
Mg -11.2714 6.1242 5.2820
Mg -8.0304 4.3633 3.7632
Mg -4.8163 2.6169 2.2570
Ca -4.5080 -0.7310 1.5472
Ca -7.7390 1.0246 3.0613
Ca -10.9700 2.7801 4.5754
Pr -1.3156 -2.4655 0.0512
```

Output
DFT formation energy: -0.083 eV/atom
DFT total energy: -17.8 eV/cell
Space group: P4/mmm
Mass density: 2.4 g/cm³

Below is CaPr4Mg5 after structural relaxation, with properties calculated at the PBE level.

Cell and atoms, written as extended XYZ:
```
10
Lattice="-1.4947 -2.8780 -2.2426 -1.1786 -1.9127 3.2402 -17.0596 9.3805 -0.6679" Properties=species:S:1:pos:R:3 pbc="T T T"
Mg -6.4816 0.4337 0.2974
Mg -13.2513 4.1561 0.0323
Mg -3.1078 -1.4214 0.4295
Mg -16.6251 6.0113 -0.0998
Mg -9.8665 2.2949 0.1648
Pr -3.4723 1.9093 -0.1359
Pr -10.2242 5.6219 -0.4003
Pr -13.5873 7.4712 -0.5320
Pr -6.8354 3.7586 -0.2676
Ca 0.0000 0.0000 0.0000
```

Output
DFT formation energy: -0.107 eV/atom
DFT total energy: -30.2 eV/cell
Space group: P4/mmm
Mass density: 4.0 g/cm³

Below is CaPr2Mg4 after structural relaxation, with properties calculated at the PBE level.

Cell and atoms, written as extended XYZ:
```
7
Lattice="-3.3327 4.4899 0.7390 -3.3074 -1.7610 -4.2157 -1.2586 -5.6488 7.1201" Properties=species:S:1:pos:R:3 pbc="T T T"
Mg -1.7287 -1.6176 2.0320
Mg -1.6537 -0.8805 -2.1079
Mg -6.1699 -1.3023 1.6115
Mg -1.6663 2.2449 0.3695
Pr -3.5917 -3.3609 4.2217
Pr -4.3069 0.4409 -0.5783
Ca 0.0000 0.0000 0.0000
```

Output
DFT formation energy: 0.481 eV/atom
DFT total energy: -14.6 eV/cell
Polymorph energy (0 for the lowest one): 0.4200 eV/atom
Space group: I4/mmm
Mass density: 2.6 g/cm³

Below is CaPr2Mg2 after structural relaxation, with properties calculated at the PBE level.

Cell and atoms, written as extended XYZ:
```
10
Lattice="3.7593 0.0000 -0.5043 0.0000 5.6592 0.0000 0.0820 0.0000 14.9153" Properties=species:S:1:pos:R:3 pbc="T T T"
Pr 3.6684 1.4148 13.1002
Pr 0.9178 4.2444 6.8595
Pr 0.1729 4.2444 1.3109
Pr 2.9235 1.4148 7.5515
Ca 3.2538 4.2444 10.0209
Ca 0.5875 1.4148 4.3901
Mg 1.4219 1.4148 10.6114
Mg 1.7576 4.2444 13.1095
Mg 2.0837 1.4148 1.3015
Mg 2.4194 4.2444 3.7996
```

Output
DFT formation energy: -0.059 eV/atom
DFT total energy: -30.1 eV/cell
Space group: Cmcm
Mass density: 3.9 g/cm³